A plane-wave DFT calculation with PBE was carried out for crystalline Tb6TmSc5 at its relaxed geometry.

a = 4.9061 Å, b = 9.0943 Å, c = 9.0943 Å
α = 108.42°, β = 105.65°, γ = 105.65°
Element x y z (fractional)
1 Tb 0.2528 0.0853 0.4203
2 Tb 0.7472 0.9147 0.5797
3 Tb 0.2528 0.4203 0.0853
4 Tb 0.2444 0.7444 0.7444
5 Tb 0.7472 0.5797 0.9147
6 Tb 0.7556 0.2556 0.2556
7 Sc 0.0000 0.6683 0.3317
8 Sc 0.0000 0.3317 0.6683
9 Sc 0.5000 0.1669 0.8331
10 Sc 0.5000 0.8331 0.1669
11 Sc 0.5000 0.5000 0.5000
12 Tm 0.0000 0.0000 0.0000

Summary:
DFT total energy   -63.3 eV for the cell shown
Energy relative to the elements   0.0481 eV per atom
M_tot   0.000 μB/cell
Mass density   6549 kg/m3
Space group   Immm, No. 71